# KAcIN

KAcIN after structural relaxation (PBE-GGA, the Alexandria database).

Total energy (hartree per atom): -0.1734
Formation energy (no corrections) (eV per atom): -0.948

a = 4.0399 Å, b = 4.0399 Å, c = 25.9599 Å
α = 90.00°, β = 90.00°, γ = 120.00°
Last column: nearest neighbours and their distance in Å.
Element x y z (fractional)
K (0.0000, 0.0000, 0.0000)  1 Ac 3.34, 3 N 3.36, 3 I 3.44
K (0.3333, 0.6667, 0.6667)  1 Ac 3.34, 3 N 3.36, 3 I 3.44
K (0.6667, 0.3333, 0.3333)  1 Ac 3.34, 3 N 3.36, 3 I 3.44
Ac (0.0000, 0.0000, 0.1286)  3 N 2.51
Ac (0.3333, 0.6667, 0.7953)  3 N 2.51
Ac (0.6667, 0.3333, 0.4619)  3 N 2.51
I (0.0000, 0.0000, 0.5690)  3 K 3.44, 3 Ac 3.63, 1 N 3.70
I (0.3333, 0.6667, 0.2357)  3 K 3.44, 3 Ac 3.63, 1 N 3.70
I (0.6667, 0.3333, 0.9023)  3 K 3.44, 3 Ac 3.63, 1 N 3.70
N (0.0000, 0.0000, 0.4266)  3 Ac 2.51
N (0.3333, 0.6667, 0.0933)  3 Ac 2.51
N (0.6667, 0.3333, 0.7599)  3 Ac 2.51


# Sc2Zn3Ga3

Sc2Zn3Ga3 after structural relaxation (PBE-GGA, the Alexandria database).

Formation enthalpy at 0 K (meV/atom): -428
Total energy (hartree per atom): -0.1332
Fermi-level density of states (states/eV/atom): 0.406

a = 4.0603 Å, b = 4.1239 Å, c = 8.0722 Å
α = 90.00°, β = 90.00°, γ = 90.00°
Last column: nearest neighbours and their distance in Å.
Element x y z (fractional)
Sc (0.0000, 0.0000, 0.2478)  6 Ga 2.85-2.87, 6 Zn 2.89-2.90
Sc (0.0000, 0.0000, 0.7522)  6 Ga 2.85-2.87, 6 Zn 2.89-2.90
Zn (0.0000, 0.5000, 0.5000)  4 Zn 2.82, 4 Ga 2.89, 4 Sc 2.90
Zn (0.5000, 0.5000, 0.2567)  2 Zn 2.82, 6 Ga 2.85-2.92, 4 Sc 2.89
Zn (0.5000, 0.5000, 0.7433)  2 Zn 2.82, 6 Ga 2.85-2.92, 4 Sc 2.89
Ga (0.0000, 0.5000, 0.0000)  4 Sc 2.87, 4 Ga 2.89, 4 Zn 2.90
Ga (0.5000, 0.0000, 0.0000)  4 Sc 2.85, 4 Ga 2.89, 4 Zn 2.92
Ga (0.5000, 0.0000, 0.5000)  8 Zn 2.85-2.89, 4 Sc 2.87


# TlFeRu2

TlFeRu2 after structural relaxation (PBE-GGA, the Alexandria database).

Formation enthalpy at 0 K (meV/atom): 545
Energy relative to the lowest polymorph listed for this composition (eV per atom): 0.141
Total energy (hartree per atom): -0.2499
Fermi-level density of states (states/eV/atom): 1.340

a = 4.3689 Å, b = 4.3689 Å, c = 3.2926 Å
α = 90.00°, β = 90.00°, γ = 90.00°
Last column: nearest neighbours and their distance in Å.
Element x y z (fractional)
Tl (0.0000, 0.0000, 0.0000)  8 Ru 2.74
Fe (0.5000, 0.5000, 0.0000)  8 Ru 2.74
Ru (0.0000, 0.5000, 0.5000)  4 Tl 2.74, 4 Fe 2.74
Ru (0.5000, 0.0000, 0.5000)  4 Tl 2.74, 4 Fe 2.74


# LaTb12Al3

LaTb12Al3 after structural relaxation (PBE-GGA, the Alexandria database).

Formation enthalpy at 0 K (meV/atom): -115
Total energy (hartree per atom): -0.1689
Fermi-level density of states (states/eV/atom): 1.254

a = 4.8142 Å, b = 4.8142 Å, c = 19.8126 Å
α = 90.00°, β = 90.00°, γ = 90.00°
Last column: nearest neighbours and their distance in Å.
Element x y z (fractional)
La (0.0000, 0.0000, 0.0000)  12 Tb 3.40-3.65
Tb (0.0000, 0.5000, 0.1382)  2 Al 3.40, 8 Tb 3.40-3.65, 2 La 3.65
Tb (0.0000, 0.5000, 0.3794)  8 Tb 3.37-3.40, 4 Al 3.38-3.39
Tb (0.0000, 0.5000, 0.6206)  8 Tb 3.37-3.40, 4 Al 3.38-3.39
Tb (0.0000, 0.5000, 0.8618)  2 Al 3.40, 8 Tb 3.40-3.65, 2 La 3.65
Tb (0.5000, 0.0000, 0.1382)  2 Al 3.40, 8 Tb 3.40-3.65, 2 La 3.65
Tb (0.5000, 0.0000, 0.3794)  8 Tb 3.37-3.40, 4 Al 3.38-3.39
Tb (0.5000, 0.0000, 0.6206)  8 Tb 3.37-3.40, 4 Al 3.38-3.39
Tb (0.5000, 0.0000, 0.8618)  2 Al 3.40, 8 Tb 3.40-3.65, 2 La 3.65
Tb (0.5000, 0.5000, 0.0000)  4 La 3.40, 8 Tb 3.65
Tb (0.5000, 0.5000, 0.2600)  8 Tb 3.37-3.41, 4 Al 3.40
Tb (0.5000, 0.5000, 0.5000)  8 Tb 3.39, 4 Al 3.40
Tb (0.5000, 0.5000, 0.7400)  8 Tb 3.37-3.41, 4 Al 3.40
Al (0.0000, 0.0000, 0.2595)  12 Tb 3.38-3.40
Al (0.0000, 0.0000, 0.5000)  12 Tb 3.39-3.40
Al (0.0000, 0.0000, 0.7405)  12 Tb 3.38-3.40


Which of these has the highest total energy? Sc2Zn3Ga3


Which value of total energy does entry 1 give? -0.1734 hartree per atom


Which value of total energy does entry 1 give? -0.1734 hartree per atom